# SrZnCu2 PBE-GGA optimized geometry
# Total magnetization: 0.00 μB per formula unit
# Formation enthalpy at 0 K: -0.15 eV/atom
data_SrZnCu2
_chemical_formula_sum 'Sr2 Zn2 Cu4'
_symmetry_space_group_name_H-M 'P m m n'
_symmetry_Int_Tables_number 59
_cell_length_a 4.3012
_cell_length_b 6.8666
_cell_length_c 5.7485
_cell_angle_alpha 90.00
_cell_angle_beta 90.00
_cell_angle_gamma 90.00
loop_
_symmetry_equiv_pos_as_xyz
'x,y,z'
'-x,-y,-z'
'-x+1/2,-y+1/2,z'
'x+1/2,y+1/2,-z'
'x+1/2,-y,-z'
'-x+1/2,y,z'
'-x,y+1/2,-z'
'x,-y+1/2,z'
loop_
_atom_site_label
_atom_site_fract_x
_atom_site_fract_y
_atom_site_fract_z
Sr1 0.2500 0.2500 0.1205
Zn1 0.2500 0.7500 0.3666
Cu1 0.2500 0.0614 0.6026

=====

# BaTeP2Cl PBE-GGA optimized geometry
# Energy relative to the lowest polymorph listed for this composition: 874 meV per atom
# Total magnetization: 2.91 μB per formula unit
# Formation energy from raw total energies: 0.632 eV/atom
data_BaTeP2Cl
_chemical_formula_sum 'Ba1 Te1 P2 Cl1'
_symmetry_space_group_name_H-M 'P 4/m m m'
_symmetry_Int_Tables_number 123
_symmetry_space_group_name_Hall '-P 4 2'
_cell_length_a 6.3620
_cell_length_b 6.3620
_cell_length_c 5.7112
_cell_angle_alpha 90.00
_cell_angle_beta 90.00
_cell_angle_gamma 90.00
loop_
_atom_site_label
_atom_site_fract_x
_atom_site_fract_y
_atom_site_fract_z
Ba1 0.0000 0.0000 0.0000
Te1 0.5000 0.5000 0.5000
P1 0.0000 0.5000 0.0000
Cl1 0.0000 0.0000 0.5000

=====

# PrSm7Dy3 PBE-GGA optimized geometry
# Energy relative to the lowest polymorph listed for this composition: 60 meV per atom
# Total magnetization: 0.00 μB per formula unit
# Formation enthalpy at 0 K: 0.19 eV/atom
data_PrSm7Dy3
_chemical_formula_sum 'Pr1 Sm7 Dy3'
_symmetry_space_group_name_H-M 'P 3 m 1'
_symmetry_Int_Tables_number 156
_cell_length_a 7.1790
_cell_length_b 7.1790
_cell_length_c 8.6799
_cell_angle_alpha 90.00
_cell_angle_beta 90.00
_cell_angle_gamma 120.00
loop_
_symmetry_equiv_pos_as_xyz
'x,y,z'
'-y,x-y,z'
'-x+y,-x,z'
'-y,-x,z'
'-x+y,y,z'
'x,x-y,z'
loop_
_atom_site_label
_atom_site_fract_x
_atom_site_fract_y
_atom_site_fract_z
Pr1 0.0000 0.0000 0.0000
Sm1 0.0019 0.5009 0.0106
Sm2 0.3319 0.1659 0.6682
Sm3 0.3333 0.6667 0.6785
Dy1 0.1671 0.3342 0.3406